# 1
First-principles (PBE-GGA) data for a geometry-optimized Sm2MgCd8 structure, as listed in the Alexandria database.

Cell lengths 8.8188, 8.8188, 6.7620 Å; angles 104.12, 104.12, 31.37 degrees
Closest atoms and distances in Å follow each position.
Fractional coordinates of all 11 atoms:
Sm (0.2199, 0.2199, 0.1721)  10 Cd 3.14-3.42
Sm (0.7801, 0.7801, 0.8279)  10 Cd 3.14-3.42
Mg (0.5000, 0.5000, 0.5000)  8 Cd 2.88-3.12
Cd (0.0247, 0.0247, 0.2244)  7 Cd 2.94-3.20, 2 Mg 3.12
Cd (0.1457, 0.1457, 0.6585)  6 Cd 3.05-3.25, 3 Sm 3.30-3.38, 2 Mg 3.41
Cd (0.3487, 0.3487, 0.6200)  1 Mg 2.88, 5 Cd 2.96-3.20, 2 Sm 3.14
Cd (0.4046, 0.4046, 0.0711)  1 Mg 2.94, 5 Cd 2.96-3.25
Cd (0.5954, 0.5954, 0.9289)  1 Mg 2.94, 5 Cd 2.96-3.25
Cd (0.6513, 0.6513, 0.3800)  1 Mg 2.88, 5 Cd 2.96-3.20, 2 Sm 3.14
Cd (0.8543, 0.8543, 0.3415)  6 Cd 3.05-3.25, 3 Sm 3.30-3.38, 2 Mg 3.41
Cd (0.9753, 0.9753, 0.7756)  7 Cd 2.94-3.20, 2 Mg 3.12

Results
**Calculated volume**: 24.08 A^3/atom
**Magnetization**: 0.00 Bohr magnetons per cell
**DFT formation energy**: -0.19 eV per atom

# 2
First-principles (PBE-GGA) data for a geometry-optimized Sc2TlCu structure, as listed in the Alexandria database.

Cell lengths 3.4029, 3.4029, 26.8188 Å; angles 90.00, 90.00, 120.00 degrees
Closest atoms and distances in Å follow each position.
Fractional coordinates of all 12 atoms:
Sc (0.0000, 0.0000, 0.0000)  3 Cu 2.71
Sc (0.0000, 0.0000, 0.2360)  3 Tl 3.15, 9 Sc 3.27-3.40
Sc (0.3333, 0.6667, 0.6667)  3 Cu 2.71
Sc (0.3333, 0.6667, 0.9027)  3 Tl 3.15, 9 Sc 3.27-3.40
Sc (0.6667, 0.3333, 0.3333)  3 Cu 2.71
Sc (0.6667, 0.3333, 0.5694)  3 Tl 3.15, 9 Sc 3.27-3.40
Tl (0.0000, 0.0000, 0.4774)  3 Cu 2.80
Tl (0.3333, 0.6667, 0.1441)  3 Cu 2.80
Tl (0.6667, 0.3333, 0.8107)  3 Cu 2.80
Cu (0.0000, 0.0000, 0.7363)  3 Sc 2.71, 3 Tl 2.80
Cu (0.3333, 0.6667, 0.4030)  3 Sc 2.71, 3 Tl 2.80
Cu (0.6667, 0.3333, 0.0696)  3 Sc 2.71, 3 Tl 2.80

Results
**Calculated volume**: 22.41 A^3/atom
**Magnetization**: 2.13 Bohr magnetons per cell
**DFT formation energy**: 0.05 eV per atom

# 3
First-principles (PBE-GGA) data for a geometry-optimized YTm2Pd structure, as listed in the Alexandria database.

Cell lengths 3.7002, 3.7002, 28.3576 Å; angles 90.00, 90.00, 120.00 degrees
Closest atoms and distances in Å follow each position.
Fractional coordinates of all 12 atoms:
Y (0.0000, 0.0000, 0.0000)  6 Tm 3.56-3.63, 6 Y 3.70
Y (0.3333, 0.6667, 0.6667)  6 Tm 3.56-3.63, 6 Y 3.70
Y (0.6667, 0.3333, 0.3333)  6 Tm 3.56-3.63, 6 Y 3.70
Tm (0.0000, 0.0000, 0.2331)  3 Pd 2.82
Tm (0.0000, 0.0000, 0.4366)  3 Pd 2.82
Tm (0.3333, 0.6667, 0.1033)  3 Pd 2.82
Tm (0.3333, 0.6667, 0.8998)  3 Pd 2.82
Tm (0.6667, 0.3333, 0.5664)  3 Pd 2.82
Tm (0.6667, 0.3333, 0.7700)  3 Pd 2.82
Pd (0.0000, 0.0000, 0.8351)  6 Tm 2.82
Pd (0.3333, 0.6667, 0.5018)  6 Tm 2.82
Pd (0.6667, 0.3333, 0.1685)  6 Tm 2.82

Results
**Calculated volume**: 28.02 A^3/atom
**Excess energy over the best structure of this formula in the dataset**: 170 meV/atom
**Magnetization**: 1.25 Bohr magnetons per cell
**DFT formation energy**: -0.32 eV per atom

# 4
First-principles (PBE-GGA) data for a geometry-optimized Ag2PI structure, as listed in the Alexandria database.

Cell lengths 6.4205, 6.4205, 10.9186 Å; angles 90.00, 90.00, 90.00 degrees
Closest atoms and distances in Å follow each position.
Fractional coordinates of all 16 atoms:
Ag (0.1850, 0.2500, 0.1250)  2 P 2.42
Ag (0.2500, 0.6849, 0.3750)  2 P 2.42
Ag (0.2500, 0.8151, 0.8750)  2 P 2.42
Ag (0.3150, 0.2500, 0.6250)  2 P 2.42
Ag (0.6849, 0.7500, 0.6250)  2 P 2.42
Ag (0.7500, 0.1850, 0.8750)  2 P 2.42
Ag (0.7500, 0.3150, 0.3750)  2 P 2.42
Ag (0.8151, 0.7500, 0.1250)  2 P 2.42
P (0.0000, 0.0000, 0.0000)  4 Ag 2.42
P (0.0000, 0.5000, 0.2500)  4 Ag 2.42
P (0.5000, 0.0000, 0.7500)  4 Ag 2.42
P (0.5000, 0.5000, 0.5000)  4 Ag 2.42
I (0.0000, 0.0000, 0.5000)  4 Ag 2.92
I (0.0000, 0.5000, 0.7500)  4 Ag 2.92
I (0.5000, 0.0000, 0.2500)  4 Ag 2.92
I (0.5000, 0.5000, 0.0000)  4 Ag 2.92

Results
**Energy relative to the elements, uncorrected**: 0.24 eV per atom
**Calculated volume**: 28.13 A^3/atom
**Excess energy over the best structure of this formula in the dataset**: 0 meV/atom
**Magnetization**: 0.00 Bohr magnetons per cell

# 5
First-principles (PBE-GGA) data for a geometry-optimized AlGaSi structure, as listed in the Alexandria database.

Cell lengths 6.1511, 6.1511, 6.1511 Å; angles 90.00, 90.00, 90.00 degrees
Closest atoms and distances in Å follow each position.
Fractional coordinates of all 12 atoms:
Al (0.0000, 0.0000, 0.0000)  4 Si 2.66
Al (0.0000, 0.5000, 0.5000)  4 Si 2.66
Al (0.5000, 0.0000, 0.5000)  4 Si 2.66
Al (0.5000, 0.5000, 0.0000)  4 Si 2.66
Ga (0.0000, 0.0000, 0.5000)  4 Si 2.66
Ga (0.0000, 0.5000, 0.0000)  4 Si 2.66
Ga (0.5000, 0.0000, 0.0000)  4 Si 2.66
Ga (0.5000, 0.5000, 0.5000)  4 Si 2.66
Si (0.2500, 0.2500, 0.7500)  4 Al 2.66, 4 Ga 2.66
Si (0.2500, 0.7500, 0.2500)  4 Al 2.66, 4 Ga 2.66
Si (0.7500, 0.2500, 0.2500)  4 Al 2.66, 4 Ga 2.66
Si (0.7500, 0.7500, 0.7500)  4 Al 2.66, 4 Ga 2.66

Results
**Energy relative to the elements, uncorrected**: 0.18 eV per atom
**Calculated volume**: 19.39 A^3/atom
**Excess energy over the best structure of this formula in the dataset**: 13 meV/atom
**Magnetization**: 0.00 Bohr magnetons per cell

# 6
First-principles (PBE-GGA) data for a geometry-optimized Y3MgN structure, as listed in the Alexandria database.

Cell lengths 4.2817, 4.2817, 16.7809 Å; angles 90.00, 90.00, 120.00 degrees
Closest atoms and distances in Å follow each position.
Fractional coordinates of all 10 atoms:
Y (0.0000, 0.0000, 0.2500)  3 Mg 2.47
Y (0.0000, 0.0000, 0.7500)  3 Mg 2.47
Y (0.3333, 0.6667, 0.0661)  3 N 2.71
Y (0.3333, 0.6667, 0.4339)  3 N 2.71
Y (0.6667, 0.3333, 0.5661)  3 N 2.71
Y (0.6667, 0.3333, 0.9339)  3 N 2.71
Mg (0.3333, 0.6667, 0.2500)  3 Y 2.47
Mg (0.6667, 0.3333, 0.7500)  3 Y 2.47
N (0.0000, 0.0000, 0.0000)  6 Y 2.71
N (0.0000, 0.0000, 0.5000)  6 Y 2.71

Results
**Energy relative to the elements, uncorrected**: 0.57 eV per atom
**Calculated volume**: 26.64 A^3/atom
**Excess energy over the best structure of this formula in the dataset**: 1289 meV/atom
**Magnetization**: 0.00 Bohr magnetons per cell

# 7
First-principles (PBE-GGA) data for a geometry-optimized Ce7Zn2Co2 structure, as listed in the Alexandria database.

Cell lengths 6.5666, 6.5666, 6.6054 Å; angles 90.00, 90.00, 110.15 degrees
Closest atoms and distances in Å follow each position.
Fractional coordinates of all 11 atoms:
Ce (0.0000, 0.0000, 0.0000)  2 Co 2.90
Ce (0.0000, 0.5000, 0.2760)  2 Co 2.63
Ce (0.0000, 0.5000, 0.7240)  2 Co 2.63
Ce (0.5000, 0.0000, 0.2760)  2 Co 2.63
Ce (0.5000, 0.0000, 0.7240)  2 Co 2.63
Ce (0.5000, 0.5000, 0.2181)  2 Co 2.87, 1 Ce 2.88, 2 Zn 3.14
Ce (0.5000, 0.5000, 0.7819)  2 Co 2.87, 1 Ce 2.88, 2 Zn 3.14
Zn (0.1639, 0.1639, 0.5000)  1 Zn 2.47
Zn (0.8361, 0.8361, 0.5000)  1 Zn 2.47
Co (0.2692, 0.7308, 0.0000)  7 Ce 2.63-2.90
Co (0.7308, 0.2692, 0.0000)  7 Ce 2.63-2.90

Results
**Calculated volume**: 24.31 A^3/atom
**Magnetization**: 2.56 Bohr magnetons per cell
**DFT formation energy**: -0.05 eV per atom

# 8
First-principles (PBE-GGA) data for a geometry-optimized DyEr2Tm2Th structure, as listed in the Alexandria database.

Cell lengths 6.4610, 6.6632, 8.8373 Å; angles 90.00, 97.79, 90.00 degrees
Closest atoms and distances in Å follow each position.
Fractional coordinates of all 12 atoms:
Dy (0.1940, 0.2500, 0.1674)  4 Er 3.33-3.50, 1 Th 3.36, 6 Tm 3.49-3.68
Dy (0.8060, 0.7500, 0.8326)  4 Er 3.33-3.50, 1 Th 3.36, 6 Tm 3.49-3.68
Er (0.0858, 0.7500, 0.5243)  2 Th 3.22-3.31, 3 Er 3.36-3.52, 2 Tm 3.43, 1 Dy 3.47
Er (0.1790, 0.7500, 0.1591)  3 Dy 3.33-3.50, 1 Er 3.36, 1 Th 3.47, 6 Tm 3.48-3.67
Er (0.8210, 0.2500, 0.8409)  3 Dy 3.33-3.50, 1 Er 3.36, 1 Th 3.47, 6 Tm 3.48-3.67
Er (0.9142, 0.2500, 0.4757)  2 Th 3.22-3.31, 3 Er 3.36-3.52, 2 Tm 3.43, 1 Dy 3.47
Tm (0.3140, 0.0026, 0.8426)  3 Tm 3.30-3.42, 1 Th 3.39, 4 Er 3.43-3.67, 3 Dy 3.49-3.68
Tm (0.3140, 0.4974, 0.8426)  3 Tm 3.30-3.42, 1 Th 3.39, 4 Er 3.43-3.67, 3 Dy 3.49-3.68
Tm (0.6860, 0.5026, 0.1574)  3 Tm 3.30-3.42, 1 Th 3.39, 4 Er 3.43-3.67, 3 Dy 3.49-3.68
Tm (0.6860, 0.9974, 0.1574)  3 Tm 3.30-3.42, 1 Th 3.39, 4 Er 3.43-3.67, 3 Dy 3.49-3.68
Th (0.4308, 0.2500, 0.5302)  3 Er 3.22-3.47, 1 Dy 3.36, 2 Tm 3.39, 2 Th 3.51
Th (0.5692, 0.7500, 0.4698)  3 Er 3.22-3.47, 1 Dy 3.36, 2 Tm 3.39, 2 Th 3.51

Results
**Calculated volume**: 31.41 A^3/atom
**Magnetization**: 0.00 Bohr magnetons per cell
**DFT formation energy**: 0.17 eV per atom

# 9
First-principles (PBE-GGA) data for a geometry-optimized MgCd2SiBr structure, as listed in the Alexandria database.

Cell lengths 5.6213, 5.6213, 5.0824 Å; angles 90.00, 90.00, 90.00 degrees
Closest atoms and distances in Å follow each position.
Fractional coordinates of all 5 atoms:
Mg (0.0000, 0.0000, 0.0000)  2 Br 2.54, 4 Cd 2.81
Cd (0.0000, 0.5000, 0.0000)  2 Mg 2.81
Cd (0.5000, 0.0000, 0.0000)  2 Mg 2.81
Si (0.5000, 0.5000, 0.5000)  8 Cd 3.79, 4 Br 3.97
Br (0.0000, 0.0000, 0.5000)  2 Mg 2.54

Results
**Energy relative to the elements, uncorrected**: 0.59 eV per atom
**Calculated volume**: 32.12 A^3/atom
**Magnetization**: 1.73 Bohr magnetons per cell

# 10
First-principles (PBE-GGA) data for a geometry-optimized Na2Se2I structure, as listed in the Alexandria database.

Cell lengths 5.7407, 5.7407, 9.1104 Å; angles 90.00, 90.00, 90.00 degrees
Closest atoms and distances in Å follow each position.
Fractional coordinates of all 10 atoms:
Na (0.0000, 0.5000, 0.2500)  4 Se 3.08
Na (0.0000, 0.5000, 0.7500)  4 Se 3.08
Na (0.5000, 0.0000, 0.2500)  4 Se 3.08
Na (0.5000, 0.0000, 0.7500)  4 Se 3.08
Se (0.0000, 0.0000, 0.1281)  1 Se 2.33
Se (0.0000, 0.0000, 0.8719)  1 Se 2.33
Se (0.5000, 0.5000, 0.3719)  1 Se 2.33
Se (0.5000, 0.5000, 0.6281)  1 Se 2.33
I (0.0000, 0.0000, 0.5000)  2 Se 3.39, 8 Na 3.66
I (0.5000, 0.5000, 0.0000)  2 Se 3.39, 8 Na 3.66

Results
**Energy relative to the elements, uncorrected**: -0.69 eV per atom
**Calculated volume**: 30.02 A^3/atom
**Excess energy over the best structure of this formula in the dataset**: 0 meV/atom
**Magnetization**: 2.00 Bohr magnetons per cell